(1)
An optimized crystal structure of MgMo2Rh, computed with PBE.

As for the density of states at the Fermi level: 2.18 states/eV/f.u.

a = 5.336 Å, b = 5.336 Å, c = 4.260 Å
α = 66.53°, β = 66.53°, γ = 34.21°
Positions (direct):
1 Mg 0.250 0.250 0.250
2 Mo 0.006 0.006 0.994
3 Rh 0.750 0.750 0.750
4 Mo 0.494 0.494 0.506

(2)
An optimized crystal structure of MgMo2Rh, computed with PBE.

As for the density of states at the Fermi level: 2.69 states/eV/f.u.

a = 4.342 Å, b = 2.748 Å, c = 5.344 Å
α = 79.73°, β = 90.00°, γ = 90.00°
Positions (direct):
1 Rh 0.000 0.480 0.509
2 Mo 0.500 0.228 0.244
3 Mg 0.500 0.741 0.743
4 Mo 0.000 0.051 0.005

(3)
An optimized crystal structure of MgMo2Rh, computed with PBE.

As for the density of states at the Fermi level: 3.40 states/eV/f.u.

a = 2.759 Å, b = 3.981 Å, c = 5.742 Å
α = 90.00°, β = 90.00°, γ = 90.00°
Positions (direct):
1 Mg 0.500 0.500 0.735
2 Rh 0.000 0.000 0.510
3 Mo 0.500 0.500 0.248
4 Mo 0.000 0.000 0.007

(4)
An optimized crystal structure of MgMo2Rh, computed with PBE.

As for the density of states at the Fermi level: 5.85 states/eV/f.u.

a = 4.792 Å, b = 4.792 Å, c = 2.758 Å
α = 90.00°, β = 90.00°, γ = 90.00°
Positions (direct):
1 Rh 0.500 0.000 0.500
2 Mg 0.000 0.500 0.500
3 Mo 0.000 0.000 0.000
4 Mo 0.500 0.500 0.000

(5)
An optimized crystal structure of MgMo2Rh, computed with PBE.

As for the density of states at the Fermi level: 3.89 states/eV/f.u.

a = 5.197 Å, b = 5.197 Å, c = 5.197 Å
α = 144.94°, β = 126.25°, γ = 65.80°
Positions (direct):
1 Mo 0.759 0.259 0.500
2 Mo 0.978 0.978 0.000
3 Mg 0.255 0.755 0.500
4 Rh 0.508 0.508 0.000

(6)
An optimized crystal structure of MgMo3Rh, computed with PBE.

As for the density of states at the Fermi level: 6.95 states/eV/f.u. For the energy above the most stable polymorph in this dataset, the calculation gives 0.0 meV per atom.

a = 4.737 Å, b = 4.737 Å, c = 4.737 Å
α = 90.00°, β = 90.00°, γ = 90.00°
Positions (direct):
1 Mg 0.500 0.500 0.500
2 Rh 0.000 0.000 0.000
3 Mo 0.000 0.000 0.500
4 Mo 0.000 0.500 0.000
5 Mo 0.500 0.000 0.000

(7)
An optimized crystal structure of MgMo2Rh, computed with PBE.

As for the density of states at the Fermi level: 5.11 states/eV/f.u.

a = 9.611 Å, b = 9.611 Å, c = 9.611 Å
α = 16.76°, β = 16.76°, γ = 16.76°
Positions (direct):
1 Rh 0.250 0.250 0.250
2 Mg 0.750 0.750 0.750
3 Mo 0.505 0.505 0.505
4 Mo 0.995 0.995 0.995

(8)
An optimized crystal structure of MgMo2Rh, computed with PBE.

As for the density of states at the Fermi level: 2.81 states/eV/f.u.

a = 3.451 Å, b = 3.451 Å, c = 5.607 Å
α = 90.00°, β = 90.00°, γ = 90.00°
Positions (direct):
1 Rh 0.500 0.500 0.250
2 Mg 0.500 0.500 0.750
3 Mo 0.000 0.000 0.039
4 Mo 0.000 0.000 0.461

(9)
An optimized crystal structure of Mg2Mo2Rh, computed with PBE.

As for the density of states at the Fermi level: 3.46 states/eV/f.u. For the energy above the most stable polymorph in this dataset, the calculation gives 105.7 meV per atom.

a = 7.467 Å, b = 7.467 Å, c = 3.111 Å
α = 90.00°, β = 90.00°, γ = 90.00°
Positions (direct):
1 Mo 0.893 0.393 0.500
2 Mg 0.188 0.312 0.000
3 Mo 0.607 0.893 0.500
4 Mo 0.107 0.607 0.500
5 Mg 0.688 0.188 0.000
6 Mg 0.812 0.688 0.000
7 Rh 0.500 0.500 0.000
8 Mg 0.312 0.812 0.000
9 Mo 0.393 0.107 0.500
10 Rh 0.000 0.000 0.000

(10)
An optimized crystal structure of MgMo2Rh, computed with PBE.

As for the density of states at the Fermi level: 2.19 states/eV/f.u.

a = 2.766 Å, b = 2.766 Å, c = 8.731 Å
α = 90.00°, β = 90.00°, γ = 107.37°
Positions (direct):
1 Mo 0.000 0.000 0.011
2 Mg 0.500 0.500 0.737
3 Rh 0.000 0.000 0.494
4 Mo 0.500 0.500 0.259

(11)
An optimized crystal structure of MgMo2Rh, computed with PBE.

As for the density of states at the Fermi level: 2.71 states/eV/f.u.

a = 3.111 Å, b = 4.237 Å, c = 4.719 Å
α = 90.00°, β = 90.00°, γ = 90.00°
Positions (direct):
1 Rh 0.500 0.000 0.500
2 Mo 0.500 0.500 0.000
3 Mg 0.000 0.500 0.500
4 Mo 0.000 0.000 0.000

(12)
An optimized crystal structure of MgMo2Rh, computed with PBE.

As for the density of states at the Fermi level: 3.52 states/eV/f.u.

a = 4.451 Å, b = 4.451 Å, c = 4.451 Å
α = 60.00°, β = 60.00°, γ = 60.00°
Positions (direct):
1 Rh 0.750 0.750 0.750
2 Mo 0.000 0.000 0.000
3 Mo 0.250 0.250 0.250
4 Mg 0.500 0.500 0.500

For each record above, in turn, the calculated final energy values are -7.711, -7.608, -7.536, -7.237, -7.537, -6.800, -7.445, -7.340, -5.867, -7.634, -7.629, -7.559 eV/atom.